No. 1
The following is a PBE calculation of an optimized crystal structure of NaBi, from Alexandria via LeMat-Bulk.

Space group   No. 216
E above lowest polymorph   167 kJ/mol of formula units
DFT formation energy   108 kJ/mol of formula units

Cell: 5.120 5.120 5.120 Å, 60.00 60.00 60.00°
Element x y z (fractional)
Na  0.000  0.000  0.000
Bi  0.750  0.750  0.750


No. 2
The following is a PBE calculation of an optimized crystal structure of La3Y3CuS8, from Alexandria via LeMat-Bulk.

Space group   No. 12
Formation energy from raw total energies   -2691 kJ/mol of formula units

Cell: 7.950 7.950 8.006 Å, 119.85 119.85 59.91°
Element x y z (fractional)
La  0.000  0.000  0.000
La  0.000  0.500  0.000
La  0.500  0.000  0.000
Y  0.000  0.500  0.500
Y  0.500  0.000  0.500
Y  0.500  0.500  0.500
Cu  0.000  0.000  0.500
S  0.241  0.748  0.730
S  0.242  0.242  0.731
S  0.252  0.759  0.270
S  0.256  0.256  0.268
S  0.744  0.744  0.732
S  0.748  0.241  0.730
S  0.758  0.758  0.269
S  0.759  0.252  0.270


No. 3
The following is a PBE calculation of an optimized crystal structure of AlGaRuRh, from Alexandria via LeMat-Bulk.

Space group   No. 47
DFT formation energy   -282 kJ/mol of formula units

Cell: 3.041 4.230 4.257 Å, 90.00 90.00 90.00°
Element x y z (fractional)
Al  0.000  0.000  0.000
Ga  0.000  0.500  0.500
Ru  0.500  0.000  0.500
Rh  0.500  0.500  0.000


No. 4
The following is a PBE calculation of an optimized crystal structure of Tb7CeTm3, from Alexandria via LeMat-Bulk.

Space group   No. 156
E above lowest polymorph   54 kJ/mol of formula units
DFT formation energy   221 kJ/mol of formula units

Cell: 7.028 7.028 8.541 Å, 90.00 90.00 120.00°
Element x y z (fractional)
Tb  0.000  0.000  0.000
Tb  0.166  0.332  0.665
Tb  0.166  0.834  0.665
Tb  0.502  0.005  0.000
Tb  0.502  0.498  0.000
Tb  0.668  0.834  0.665
Tb  0.995  0.498  0.000
Ce  0.667  0.333  0.668
Tm  0.336  0.168  0.335
Tm  0.832  0.168  0.335
Tm  0.832  0.664  0.335


no.,total energy (Ry per atom)
1,-0.150
2,-0.486
3,-0.484
4,-0.331